No. 1
{
  "formula": "NaTi2In2",
  "functional": "GGA-PBE",
  "state": "optimized geometry",
  "lattice": [[4.011, 0.000, 0.000], [0.000, 4.011, 0.000], [0.000, 0.000, 14.469]],
  "species": ["Na", "Na", "Ti", "Ti", "Ti", "Ti", "In", "In", "In", "In"],
  "frac_coords": [[0.000, 0.000, 0.000], [0.500, 0.500, 0.500], [0.000, 0.500, 0.250], [0.000, 0.500, 0.750], [0.500, 0.000, 0.250], [0.500, 0.000, 0.750], [0.000, 0.000, 0.399], [0.000, 0.000, 0.601], [0.500, 0.500, 0.101], [0.500, 0.500, 0.899]],
  "dft_energy_ev_per_atom": -4.29,
  "relative_energy_mev_per_atom": 213,
  "formation_enthalpy_0k_ev_per_atom": 0.226,
  "magnetic_moment_mub_per_cell": 6.63
}

***

No. 2
{
  "formula": "YAlSe3",
  "functional": "GGA-PBE",
  "state": "optimized geometry",
  "lattice": [[7.240, -1.931, 0.000], [7.240, 1.931, 0.000], [-3.416, 0.000, 10.198]],
  "species": ["Y", "Y", "Al", "Al", "Se", "Se", "Se", "Se", "Se", "Se"],
  "frac_coords": [[0.157, 0.157, 0.357], [0.843, 0.843, 0.643], [0.361, 0.361, 0.079], [0.639, 0.639, 0.921], [0.047, 0.047, 0.794], [0.198, 0.198, 0.106], [0.362, 0.362, 0.477], [0.638, 0.638, 0.523], [0.802, 0.802, 0.894], [0.953, 0.953, 0.206]],
  "e_form_raw_ev_per_atom": -1.147,
  "dft_energy_ev_per_atom": -5.28,
  "relative_energy_mev_per_atom": 224,
  "magnetic_moment_mub_per_cell": 0.00
}

***

No. 3
{
  "formula": "PmTlF",
  "functional": "GGA-PBE",
  "state": "optimized geometry",
  "lattice": [[3.420, 0.000, 0.000], [0.000, 3.420, 0.000], [0.000, 0.000, 12.216]],
  "species": ["Pm", "Pm", "Tl", "Tl", "F", "F"],
  "frac_coords": [[0.000, 0.000, 0.000], [0.500, 0.500, 0.500], [0.000, 0.000, 0.279], [0.500, 0.500, 0.779], [0.000, 0.000, 0.542], [0.500, 0.500, 0.042]],
  "e_form_raw_ev_per_atom": -1.559,
  "dft_energy_ev_per_atom": -4.55,
  "relative_energy_mev_per_atom": 330,
  "magnetic_moment_mub_per_cell": 0.00
}

***

No. 4
{
  "formula": "CeCo4Si4",
  "functional": "GGA-PBE",
  "state": "optimized geometry",
  "lattice": [[-3.881, 3.881, 2.098], [3.881, -3.881, 2.098], [3.881, 3.881, -2.098]],
  "species": ["Ce", "Co", "Co", "Co", "Co", "Si", "Si", "Si", "Si"],
  "frac_coords": [[0.000, 0.000, 0.000], [0.113, 0.614, 0.727], [0.386, 0.113, 0.499], [0.614, 0.887, 0.501], [0.887, 0.386, 0.273], [0.212, 0.342, 0.555], [0.342, 0.788, 0.130], [0.658, 0.212, 0.870], [0.788, 0.658, 0.445]],
  "e_form_raw_ev_per_atom": -0.576,
  "dft_energy_ev_per_atom": -6.80,
  "magnetic_moment_mub_per_cell": 0.59
}

***

No. 5
{
  "formula": "CdIrAu2",
  "functional": "GGA-PBE",
  "state": "optimized geometry",
  "lattice": [[4.742, 0.000, 0.000], [0.000, 4.742, 0.000], [0.000, 0.000, 3.109]],
  "species": ["Cd", "Ir", "Au", "Au"],
  "frac_coords": [[0.000, 0.000, 0.000], [0.500, 0.500, 0.000], [0.000, 0.500, 0.500], [0.500, 0.000, 0.500]],
  "dft_energy_ev_per_atom": -3.91,
  "formation_enthalpy_0k_ev_per_atom": 0.173,
  "magnetic_moment_mub_per_cell": 0.00
}

***

No. 6
{
  "formula": "CePdRh",
  "functional": "GGA-PBE",
  "state": "optimized geometry",
  "lattice": [[3.586, 0.000, 0.000], [0.000, 3.586, 0.000], [0.000, 0.000, 19.510]],
  "species": ["Ce", "Ce", "Ce", "Ce", "Pd", "Pd", "Pd", "Pd", "Rh", "Rh", "Rh", "Rh"],
  "frac_coords": [[0.000, 0.000, 0.140], [0.000, 0.000, 0.860], [0.500, 0.500, 0.360], [0.500, 0.500, 0.640], [0.000, 0.000, 0.434], [0.000, 0.000, 0.566], [0.500, 0.500, 0.066], [0.500, 0.500, 0.934], [0.000, 0.000, 0.288], [0.000, 0.000, 0.712], [0.500, 0.500, 0.212], [0.500, 0.500, 0.788]],
  "dft_energy_ev_per_atom": -6.63,
  "relative_energy_mev_per_atom": 239,
  "formation_enthalpy_0k_ev_per_atom": -0.467,
  "magnetic_moment_mub_per_cell": 0.00
}

***

No. 7
{
  "formula": "Nd2Mg",
  "functional": "GGA-PBE",
  "state": "optimized geometry",
  "lattice": [[3.851, 0.000, 0.000], [0.000, 3.851, 0.000], [0.000, 0.000, 26.291]],
  "species": ["Nd", "Nd", "Nd", "Nd", "Nd", "Nd", "Nd", "Nd", "Mg", "Mg", "Mg", "Mg"],
  "frac_coords": [[0.000, 0.250, 0.304], [0.000, 0.250, 0.446], [0.000, 0.750, 0.554], [0.000, 0.750, 0.696], [0.500, 0.250, 0.054], [0.500, 0.250, 0.196], [0.500, 0.750, 0.804], [0.500, 0.750, 0.946], [0.000, 0.250, 0.875], [0.000, 0.750, 0.125], [0.500, 0.250, 0.625], [0.500, 0.750, 0.375]],
  "dft_energy_ev_per_atom": -3.61,
  "relative_energy_mev_per_atom": 166,
  "formation_enthalpy_0k_ev_per_atom": 0.102,
  "magnetic_moment_mub_per_cell": 0.00
}